# 1
The following is a DFT calculation (SCAN) of a crystal of Sr2YAs relaxed with PBEsol.

Lattice parameters (Å, degrees): 5.5115 5.5115 5.5115 60.00 60.00 60.00
Last column: nearest neighbours and their distance in Å.
Element x y z (fractional)
Sr (0.7500, 0.7500, 0.7500)  4 As 3.38, 4 Sr 3.38
Y (0.2500, 0.2500, 0.2500)  4 As 3.38, 4 Sr 3.38
Sr (0.0000, 0.0000, 0.0000)  4 Sr 3.38, 4 Y 3.38
As (0.5000, 0.5000, 0.5000)  4 Sr 3.38, 4 Y 3.38

Output
Size of the total moment in μB/cell: 0.0
Formation energy from the elements in meV per atom: 30
Space-group type: No. 216

***

# 2
The following is a DFT calculation (SCAN) of a crystal of CoB2Os relaxed with PBEsol.

Lattice parameters (Å, degrees): 3.6753 3.6753 3.6753 60.00 60.00 60.00
Last column: nearest neighbours and their distance in Å.
Element x y z (fractional)
Co (0.0000, 0.0000, 0.0000)  8 B 2.25
B (0.2500, 0.2500, 0.2500)  4 Co 2.25, 4 Os 2.25
Os (0.5000, 0.5000, 0.5000)  8 B 2.25
B (0.7500, 0.7500, 0.7500)  4 Os 2.25, 4 Co 2.25

Output
Size of the total moment in μB/cell: 0.0
Formation energy from the elements in meV per atom: 106
Space-group type: No. 225